The following is a DFT calculation (PBEsol) of an optimized crystal structure of Zr3Co.

Structure (POSCAR):
```
Zr3Co
1.0
5.6244 0.0000 0.0000
0.0000 6.0725 0.0000
0.0000 0.0000 8.9901
Co Zr
4 12
direct
0.5877 0.1112 0.7500
0.0877 0.3888 0.2500
0.9123 0.6112 0.7500
0.4123 0.8888 0.2500
0.8430 0.0386 0.2500
0.3432 0.1902 0.0606
0.3432 0.1902 0.4394
0.8432 0.3098 0.5606
0.8432 0.3098 0.9394
0.3430 0.4614 0.7500
0.6570 0.5386 0.2500
0.1568 0.6902 0.0606
0.1568 0.6902 0.4394
0.6568 0.8098 0.5606
0.6568 0.8098 0.9394
0.1570 0.9614 0.7500
```

As for the space group: Pnma. The calculation puts the density of states at the Fermi level at 20.349 states/eV/cell. Its crystal system is orthorhombic. The calculated formation energy comes out at -0.20 eV/atom.

=====

The following is a DFT calculation (PBEsol) of an optimized crystal structure of Cs2Cr4CuH4O16.

Structure (POSCAR):
```
Cs2Cr4CuH4O16
1.0
8.1547 0.6589 -0.3481
-0.6229 7.4351 0.3495
-4.2748 -1.0759 6.6953
Cs Cr O Cu H
2 4 16 1 4
direct
0.7924 0.8067 0.2670
0.2076 0.1933 0.7330
0.7390 0.8702 0.7671
0.2610 0.1298 0.2329
0.3273 0.6658 0.5704
0.6727 0.3342 0.4296
0.7827 0.3793 0.9844
0.3007 0.9666 0.1207
0.1506 0.5805 0.3456
0.8494 0.4195 0.6544
0.8673 0.9376 0.6882
0.1463 0.2856 0.0667
0.4894 0.2231 0.4436
0.5638 0.4895 0.2674
0.4362 0.5105 0.7326
0.1327 0.0624 0.3118
0.6993 0.0334 0.8793
0.5106 0.7769 0.5564
0.8537 0.7144 0.9333
0.2173 0.6207 0.0156
0.2350 0.8074 0.6493
0.7650 0.1926 0.3507
0.0000 0.5000 0.0000
0.2342 0.7541 0.0526
0.6496 0.4326 0.8810
0.7658 0.2459 0.9474
0.3504 0.5674 0.1190
```

As for the space group: P-1. Its crystal system is triclinic. The calculation puts the total energy at -6.8988 eV/atom.

=====

The following is a DFT calculation (PBEsol) of an optimized crystal structure of Cs2HfCrCu.

Structure (POSCAR):
```
Cs2HfCrCu
1.0
4.6852 0.0000 0.0000
0.0000 6.7207 0.0000
0.0000 0.0000 6.7207
Cs Cr Hf Cu
2 1 1 1
direct
0.0000 0.0000 0.5000
0.0000 0.5000 0.0000
0.0000 0.0000 0.0000
0.5000 0.5000 0.5000
0.5000 0.0000 0.0000
```

As for the space group: P4/mmm. The calculation puts the density of states at the Fermi level at 7.061 states/eV/cell. Its crystal system is tetragonal. The calculated formation energy comes out at 1.82 eV/atom.

=====

The following is a DFT calculation (PBEsol) of an optimized crystal structure of Cs2CrCuI.

Structure (POSCAR):
```
Cs2CrCuI
1.0
5.1167 0.0000 0.0000
0.0000 7.1702 0.0000
0.0000 0.0000 7.1702
Cs I Cu Cr
2 1 1 1
direct
0.0000 0.0000 0.5000
0.0000 0.5000 0.0000
0.0000 0.0000 0.0000
0.5000 0.0000 0.0000
0.5000 0.5000 0.5000
```

Its raw formation energy is 56.5 kJ per mole of atoms. As for the space group: P4/mmm. The calculation puts the density of states at the Fermi level at 0.851 states/eV/cell. Its crystal system is tetragonal.

=====

The following is a DFT calculation (PBEsol) of an optimized crystal structure of CsLiCr2Cu.

Structure (POSCAR):
```
CsLiCr2Cu
1.0
-4.6171 1.4384 -0.6545
-0.2321 -2.6165 -4.1128
-1.8120 -4.4747 2.9490
Cs Cr Cu Li
1 2 1 1
direct
0.0000 0.0000 0.5000
0.0000 0.5000 0.0000
0.5000 0.0000 0.0000
0.5000 0.5000 0.5000
0.0000 0.0000 0.0000
```

As for the space group: P4/mmm. The calculation puts the density of states at the Fermi level at 2.116 states/eV/cell. Its crystal system is tetragonal. The calculated formation energy comes out at 1.67 eV/atom.

=====

The following is a DFT calculation (PBEsol) of an optimized crystal structure of Cs2CrF6.

Structure (POSCAR):
```
Cs2CrF6
1.0
-2.8453 0.3680 5.5674
-0.3610 -5.0603 3.6729
3.3756 -0.2935 5.2675
Cs Cr F
2 1 6
direct
0.7500 0.7500 0.7500
0.2500 0.2500 0.2500
0.0000 0.0000 0.0000
0.2069 0.7931 0.2069
0.7931 0.7931 0.2069
0.2069 0.2069 0.7931
0.7931 0.2069 0.7931
0.2069 0.7931 0.7931
0.7931 0.2069 0.2069
```

Its raw formation energy is -267.7 kJ per mole of atoms. As for the space group: Fm-3m. The calculation puts the density of states at the Fermi level at 10.949 states/eV/cell. Its crystal system is cubic.